[1]
HfRePd2 | GGA-PBE | relaxed

Results
Calculated density: 13.50 g/cm3
Formation energy: 0.73 eV per formula unit
M_tot: 0.00 μB per formula unit

Cell lengths 3.9004, 3.9004, 18.6784 Å; angles 90.00, 90.00, 90.00 degrees
Space group I-42d (No. 122)
One atom of each set of equivalent atoms:
Hf  0.0000  0.0000  0.0000 [4 per cell]
Re  0.0000  0.0000  0.5000 [4 per cell]
Pd  0.2420  0.2500  0.6250 [8 per cell]

=====

[2]
SrTl3I2O9 | GGA-PBE | relaxed

Results
Calculated density: 7.48 g/cm3
Formation energy (no corrections): -11.618 eV per formula unit
M_tot: 0.00 μB per formula unit

Cell lengths 6.0616, 6.0616, 7.6633 Å; angles 90.00, 90.00, 120.00 degrees
Space group P-3m1 (No. 164)
One atom of each set of equivalent atoms:
Sr  0.0000  0.0000  0.0000 [1 per cell]
Tl  0.0000  0.0000  0.5000 [1 per cell]
Tl  0.3333  0.6667  0.1921 [2 per cell]
I  0.3333  0.6667  0.6657 [2 per cell]
O  0.0000  0.5000  0.5000 [3 per cell]
O  0.1837  0.3674  0.7974 [6 per cell]

=====

[3]
Sm3SbAsCl | GGA-PBE | relaxed

Results
Calculated density: 6.59 g/cm3
Formation energy (no corrections): -7.758 eV per formula unit
M_tot: 0.58 μB per formula unit

Cell lengths 8.6405, 4.2848, 9.5091 Å; angles 90.00, 102.16, 90.00 degrees
Space group P2_1/m (No. 11)
One atom of each set of equivalent atoms:
Sm  0.0771  0.2500  0.3481 [2 per cell]
Sm  0.2129  0.2500  0.9894 [2 per cell]
Sm  0.3920  0.7500  0.6344 [2 per cell]
Sb  0.3229  0.7500  0.2819 [2 per cell]
As  0.1584  0.2500  0.6593 [2 per cell]
Cl  0.3893  0.7500  0.9224 [2 per cell]

=====

[4]
Ba2Mg5Pb3 | GGA-PBE | relaxed

Results
Calculated density: 5.13 g/cm3
Formation energy: -1.68 eV per formula unit
M_tot: 0.00 μB per formula unit

Cell lengths 4.9869, 4.9869, 13.2464 Å; angles 90.00, 90.00, 90.00 degrees
Space group P-4m2 (No. 115)
One atom of each set of equivalent atoms:
Ba  0.0000  0.5000  0.2450 [2 per cell]
Mg  0.0000  0.0000  0.5000 [1 per cell]
Mg  0.0000  0.5000  0.6318 [2 per cell]
Mg  0.5000  0.5000  0.0000 [1 per cell]
Mg  0.5000  0.5000  0.5000 [1 per cell]
Pb  0.0000  0.0000  0.0000 [1 per cell]
Pb  0.0000  0.5000  0.8540 [2 per cell]

=====

[5]
ZrBiSI2 | GGA-PBE | relaxed

Results
Calculated density: 6.07 g/cm3
Formation energy (no corrections): 2.003 eV per formula unit
M_tot: 0.24 μB per formula unit

Cell lengths 5.7416, 5.7416, 4.8666 Å; angles 90.00, 90.00, 90.00 degrees
Space group P4/mmm (No. 123)
One atom of each set of equivalent atoms:
Zr  0.0000  0.0000  0.0000 [1 per cell]
Bi  0.5000  0.5000  0.0000 [1 per cell]
S  0.0000  0.0000  0.5000 [1 per cell]
I  0.0000  0.5000  0.5000 [2 per cell]

=====

[6]
ScSiP2N6 | GGA-PBE | relaxed

Results
Calculated density: 3.23 g/cm3
Formation energy (no corrections): -6.759 eV per formula unit
M_tot: 1.00 μB per formula unit

Cell lengths 9.5791, 9.5669, 5.4616 Å; angles 90.00, 115.77, 90.00 degrees
Space group C2/c (No. 15)
One atom of each set of equivalent atoms:
Sc  0.0000  0.1204  0.2500 [4 per cell]
Si  0.0000  0.1980  0.7500 [4 per cell]
P  0.1839  0.4200  0.1570 [8 per cell]
N  0.0955  0.2710  0.0642 [8 per cell]
N  0.1252  0.0826  0.6918 [8 per cell]
N  0.1366  0.4792  0.3914 [8 per cell]

=====

[7]
La6Tl5Cd | GGA-PBE | relaxed

Results
Calculated density: 8.64 g/cm3
Formation energy: -4.92 eV per formula unit
M_tot: 0.00 μB per formula unit

Cell lengths 5.6378, 7.9167, 16.9502 Å; angles 90.00, 90.00, 90.00 degrees
Space group Immm (No. 71)
One atom of each set of equivalent atoms:
La  0.0000  0.2490  0.0000 [4 per cell]
La  0.0000  0.2505  0.3330 [8 per cell]
Tl  0.0000  0.0000  0.1632 [4 per cell]
Tl  0.0000  0.0000  0.5000 [2 per cell]
Tl  0.0000  0.5000  0.1658 [4 per cell]
Cd  0.0000  0.5000  0.5000 [2 per cell]

=====

[8]
OsRhN2 | GGA-PBE | relaxed

Results
Calculated density: 11.93 g/cm3
Formation energy (no corrections): 2.164 eV per formula unit
M_tot: 0.00 μB per formula unit

Cell lengths 2.8104, 2.8104, 19.6088 Å; angles 90.00, 90.00, 120.00 degrees
Space group R-3m (No. 166, hexagonal axes)
One atom of each set of equivalent atoms:
Os  0.0000  0.0000  0.0000 [3 per cell]
Rh  0.0000  0.0000  0.5000 [3 per cell]
N  0.0000  0.0000  0.3998 [6 per cell]